Record 1
Here is a geometry-optimized LiTcTe2 structure from the Open Quantum Materials Database. Energies are from PBE-GGA.

Cell lengths 4.832, 4.832, 4.832 Å; angles 60.00, 60.00, 60.00 degrees
Atoms (fractional coordinates):
1 Li 0.750 0.750 0.750
2 Tc 0.000 0.000 0.000
3 Te 0.250 0.250 0.250
4 Te 0.500 0.500 0.500

As for the crystal system: cubic. As for the space group: F-43m. Its total energy is -16.05 eV per formula unit.

Record 2
Here is a geometry-optimized LiThTc structure from the Open Quantum Materials Database. Energies are from PBE-GGA.

Cell lengths 4.361, 4.361, 4.361 Å; angles 60.00, 60.00, 60.00 degrees
Atoms (fractional coordinates):
1 Li 0.000 0.000 0.000
2 Tc 0.250 0.250 0.250
3 Th 0.750 0.750 0.750

As for the crystal system: cubic. As for the space group: F-43m. The value obtained for the relative energy among the computed polymorphs is 0 kJ/mol of formula units.

no.,total magnetic moment (μB per atom)
1,0.05
2,0.07